Record 1
Entry from Alexandria: a geometry-optimized KBa4Rh structure (GGA-PBE).

a = 10.5556 Å, b = 10.5556 Å, c = 10.5556 Å
α = 90.00°, β = 90.00°, γ = 90.00°
Space group F-43m (No. 216)
Inequivalent atoms, fractional coordinates:
K1 0.0000 0.0000 0.0000 (multiplicity 4)
Ba1 0.1230 0.1230 0.3770 (multiplicity 16)
Rh1 0.2500 0.2500 0.7500 (multiplicity 4)

* size of the total moment: 0.08 μB/cell
* N(E_F): 1.722 states/eV/atom
* polymorph energy (0 for the lowest one): 684.4 meV per atom
* ΔH_f (0 K): 0.741 eV/atom

---

Record 2
Entry from Alexandria: a geometry-optimized MgCu2Pt2 structure (GGA-PBE).

a = 2.8081 Å, b = 18.9725 Å, c = 2.7929 Å
α = 90.00°, β = 90.00°, γ = 90.00°
Space group Cmmm (No. 65)
Inequivalent atoms, fractional coordinates:
Mg1 0.0000 0.0000 0.0000 (multiplicity 2)
Cu1 0.0000 0.1966 0.0000 (multiplicity 4)
Pt1 0.0000 0.3979 0.5000 (multiplicity 4)

* size of the total moment: 0.00 μB/cell
* N(E_F): 0.287 states/eV/atom
* polymorph energy (0 for the lowest one): 0.0 meV per atom
* ΔH_f (0 K): -0.310 eV/atom

---

Record 3
Entry from Alexandria: a geometry-optimized Sm8Tm2Hg structure (GGA-PBE).

a = 17.8706 Å, b = 5.5403 Å, c = 7.8250 Å
α = 90.00°, β = 112.33°, γ = 90.00°
Space group C2/m (No. 12)
Inequivalent atoms, fractional coordinates:
Sm1 0.0090 0.0000 0.2521 (multiplicity 4)
Sm2 0.1175 0.5000 0.9234 (multiplicity 4)
Sm3 0.1577 0.5000 0.4080 (multiplicity 4)
Sm4 0.1798 0.0000 0.7161 (multiplicity 4)
Tm1 0.1907 0.0000 0.1629 (multiplicity 4)
Hg1 0.0000 0.5000 0.5000 (multiplicity 2)

* size of the total moment: 0.00 μB/cell
* N(E_F): 1.450 states/eV/atom
* ΔH_f (0 K): 0.014 eV/atom

---

Q: Which formula does entry 1 have?
A: KBa4Rh

---

Q: Look up the N(E_F) of the third one.
A: 1.450 states/eV/atom